# 1
# CdRe2As, relaxed, DFT GGA-PBE
# * energy: -7.152 eV per atom
# * E_form: 463 meV per atom
# * offset from the most stable computed form: 0.265 eV per atom
data_CdRe2As
_symmetry_space_group_name_H-M 'P 1'
_symmetry_Int_Tables_number 1
_symmetry_space_group_name_Hall 'P 1'
_cell_length_a 3.621
_cell_length_b 3.621
_cell_length_c 8.235
_cell_angle_alpha 100.10
_cell_angle_beta 100.10
_cell_angle_gamma 47.40
loop_
_atom_site_label
_atom_site_type_symbol
_atom_site_fract_x
_atom_site_fract_y
_atom_site_fract_z
Cd1 Cd 0.000 0.000 0.000
Re1 Re 0.451 0.451 0.295
Re2 Re 0.752 0.752 0.483
As1 As 0.193 0.193 0.727

# 2
# LiPmS, relaxed, DFT GGA-PBE
# * energy: -4.817 eV per atom
data_LiPmS
_symmetry_space_group_name_H-M 'P 1'
_symmetry_Int_Tables_number 1
_symmetry_space_group_name_Hall 'P 1'
_cell_length_a 3.970
_cell_length_b 3.970
_cell_length_c 4.076
_cell_angle_alpha 90.00
_cell_angle_beta 90.00
_cell_angle_gamma 120.00
loop_
_atom_site_label
_atom_site_type_symbol
_atom_site_fract_x
_atom_site_fract_y
_atom_site_fract_z
Li1 Li 0.000 0.000 0.000
Pm1 Pm 0.667 0.333 0.500
S1 S 0.333 0.667 0.000

# 3
# Ba2Li3CdF12, relaxed, DFT GGA-PBE
# * energy: -4.332 eV per atom
data_Ba2Li3CdF12
_symmetry_space_group_name_H-M 'P 1'
_symmetry_Int_Tables_number 1
_symmetry_space_group_name_Hall 'P 1'
_cell_length_a 7.249
_cell_length_b 7.249
_cell_length_c 7.249
_cell_angle_alpha 57.45
_cell_angle_beta 57.45
_cell_angle_gamma 57.45
loop_
_atom_site_label
_atom_site_type_symbol
_atom_site_fract_x
_atom_site_fract_y
_atom_site_fract_z
Ba1 Ba 0.112 0.112 0.112
Ba2 Ba 0.888 0.888 0.888
Li1 Li 0.000 0.500 0.500
Li2 Li 0.500 0.000 0.500
Li3 Li 0.500 0.500 0.000
Cd1 Cd 0.500 0.500 0.500
F1 F 0.094 0.629 0.629
F2 F 0.212 0.212 0.658
F3 F 0.212 0.658 0.212
F4 F 0.342 0.788 0.788
F5 F 0.371 0.371 0.906
F6 F 0.371 0.906 0.371
F7 F 0.629 0.094 0.629
F8 F 0.629 0.629 0.094
F9 F 0.658 0.212 0.212
F10 F 0.788 0.342 0.788
F11 F 0.788 0.788 0.342
F12 F 0.906 0.371 0.371

# 4
# RbAsP, relaxed, DFT GGA-PBE
# * energy: -3.843 eV per atom
# * E_form: -168 meV per atom
# * offset from the most stable computed form: 0.140 eV per atom
data_RbAsP
_symmetry_space_group_name_H-M 'P 1'
_symmetry_Int_Tables_number 1
_symmetry_space_group_name_Hall 'P 1'
_cell_length_a 4.372
_cell_length_b 4.372
_cell_length_c 5.393
_cell_angle_alpha 90.00
_cell_angle_beta 90.00
_cell_angle_gamma 120.00
loop_
_atom_site_label
_atom_site_type_symbol
_atom_site_fract_x
_atom_site_fract_y
_atom_site_fract_z
Rb1 Rb 0.000 0.000 0.000
As1 As 0.667 0.333 0.500
P1 P 0.333 0.667 0.500

# 5
# K2U3CuO12, relaxed, DFT GGA-PBE
# * energy: -7.928 eV per atom
data_K2U3CuO12
_symmetry_space_group_name_H-M 'P 1'
_symmetry_Int_Tables_number 1
_symmetry_space_group_name_Hall 'P 1'
_cell_length_a 7.436
_cell_length_b 7.436
_cell_length_c 7.436
_cell_angle_alpha 63.86
_cell_angle_beta 63.86
_cell_angle_gamma 63.86
loop_
_atom_site_label
_atom_site_type_symbol
_atom_site_fract_x
_atom_site_fract_y
_atom_site_fract_z
K1 K 0.146 0.146 0.146
K2 K 0.854 0.854 0.854
U1 U 0.000 0.500 0.500
U2 U 0.500 0.000 0.500
U3 U 0.500 0.500 0.000
Cu1 Cu 0.500 0.500 0.500
O1 O 0.173 0.173 0.550
O2 O 0.173 0.550 0.173
O3 O 0.199 0.558 0.558
O4 O 0.442 0.442 0.801
O5 O 0.442 0.801 0.442
O6 O 0.450 0.827 0.827
O7 O 0.550 0.173 0.173
O8 O 0.558 0.199 0.558
O9 O 0.558 0.558 0.199
O10 O 0.801 0.442 0.442
O11 O 0.827 0.450 0.827
O12 O 0.827 0.827 0.450

# 6
# Tb3Nd2TmTe6, relaxed, DFT GGA-PBE
# * energy: -5.222 eV per atom
data_Tb3Nd2TmTe6
_symmetry_space_group_name_H-M 'P 1'
_symmetry_Int_Tables_number 1
_symmetry_space_group_name_Hall 'P 1'
_cell_length_a 9.846
_cell_length_b 9.846
_cell_length_c 8.860
_cell_angle_alpha 102.20
_cell_angle_beta 102.20
_cell_angle_gamma 25.63
loop_
_atom_site_label
_atom_site_type_symbol
_atom_site_fract_x
_atom_site_fract_y
_atom_site_fract_z
Tb1 Tb 0.000 0.000 0.000
Tb2 Tb 0.325 0.325 0.665
Tb3 Tb 0.675 0.675 0.335
Nd1 Nd 0.328 0.328 0.163
Nd2 Nd 0.672 0.672 0.837
Tm1 Tm 0.000 0.000 0.500
Te1 Te 0.161 0.161 0.573
Te2 Te 0.162 0.162 0.088
Te3 Te 0.496 0.496 0.743
Te4 Te 0.504 0.504 0.257
Te5 Te 0.838 0.838 0.912
Te6 Te 0.839 0.839 0.427

# 7
# Li2PW, relaxed, DFT GGA-PBE
# * energy: -5.348 eV per atom
# * E_form: 200 meV per atom
data_Li2PW
_symmetry_space_group_name_H-M 'P 1'
_symmetry_Int_Tables_number 1
_symmetry_space_group_name_Hall 'P 1'
_cell_length_a 9.190
_cell_length_b 9.190
_cell_length_c 9.190
_cell_angle_alpha 17.14
_cell_angle_beta 17.14
_cell_angle_gamma 17.14
loop_
_atom_site_label
_atom_site_type_symbol
_atom_site_fract_x
_atom_site_fract_y
_atom_site_fract_z
Li1 Li 0.240 0.240 0.240
Li2 Li 0.760 0.760 0.760
P1 P 0.500 0.500 0.500
W1 W 0.000 0.000 0.000

# 8
# Na2Sr4N, relaxed, DFT GGA-PBE
# * energy: -2.723 eV per atom
# * offset from the most stable computed form: 0.000 eV per atom
data_Na2Sr4N
_symmetry_space_group_name_H-M 'P 1'
_symmetry_Int_Tables_number 1
_symmetry_space_group_name_Hall 'P 1'
_cell_length_a 10.642
_cell_length_b 8.237
_cell_length_c 14.149
_cell_angle_alpha 90.00
_cell_angle_beta 90.00
_cell_angle_gamma 90.00
loop_
_atom_site_label
_atom_site_type_symbol
_atom_site_fract_x
_atom_site_fract_y
_atom_site_fract_z
Na1 Na 0.022 0.250 0.178
Na2 Na 0.141 0.750 0.392
Na3 Na 0.359 0.250 0.892
Na4 Na 0.478 0.750 0.678
Na5 Na 0.522 0.250 0.322
Na6 Na 0.641 0.750 0.108
Na7 Na 0.859 0.250 0.608
Na8 Na 0.978 0.750 0.822
Sr1 Sr 0.016 0.750 0.091
Sr2 Sr 0.182 0.016 0.655
Sr3 Sr 0.182 0.484 0.655
Sr4 Sr 0.187 0.250 0.423
Sr5 Sr 0.313 0.750 0.923
Sr6 Sr 0.318 0.516 0.155
Sr7 Sr 0.318 0.984 0.155
Sr8 Sr 0.484 0.250 0.591
Sr9 Sr 0.516 0.750 0.409
Sr10 Sr 0.682 0.016 0.845
Sr11 Sr 0.682 0.484 0.845
Sr12 Sr 0.687 0.250 0.077
Sr13 Sr 0.813 0.750 0.577
Sr14 Sr 0.818 0.516 0.345
Sr15 Sr 0.818 0.984 0.345
Sr16 Sr 0.984 0.250 0.909
N1 N 0.238 0.750 0.080
N2 N 0.262 0.250 0.580
N3 N 0.738 0.750 0.420
N4 N 0.762 0.250 0.920

- What is the energy in the seventh record?
  -5.348 eV per atom